# 1
This record from Alexandria via LeMat-Bulk describes crystalline LiHfIn at its relaxed geometry. The functional is PBE-GGA.

Unit cell a=11.1648 b=5.5974 c=5.5974 alpha=146.72 beta=137.18 gamma=42.82
Element x y z (fractional)
Li 0.1126 0.5705 0.4295
Li 0.8874 0.4295 0.5705
Hf 0.5398 0.1059 0.8941
Hf 0.4602 0.8941 0.1059
In 0.1956 0.7839 0.2161
In 0.8044 0.2161 0.7839

## Properties
polymorph energy (0 for the lowest one) = 106 meV/atom
raw total energy = -29.9 eV/cell
energy relative to the elements = -0.12 eV per atom
mass density = 8.075 g/cm³
total magnetization = 0.000 μB per atom


# 2
This record from Alexandria via LeMat-Bulk describes crystalline LiHfIn at its relaxed geometry. The functional is PBE-GGA.

Unit cell a=15.9161 b=7.7561 c=7.7561 alpha=155.44 beta=157.69 gamma=22.31
Element x y z (fractional)
Li 0.7702 0.8157 0.1843
Li 0.2704 0.8158 0.1842
Hf 0.2616 0.4948 0.5052
Hf 0.2721 0.1437 0.8563
In 0.7727 0.1527 0.8473
In 0.7608 0.4857 0.5143

## Properties
polymorph energy (0 for the lowest one) = 169 meV/atom
raw total energy = -29.5 eV/cell
energy relative to the elements = -0.05 eV per atom
mass density = 7.786 g/cm³
total magnetization = 0.000 μB per atom


# 3
This record from Alexandria via LeMat-Bulk describes crystalline LiHfIn at its relaxed geometry. The functional is PBE-GGA.

Unit cell a=3.1125 b=4.7118 c=4.7118 alpha=120.00 beta=90.00 gamma=90.00
Element x y z (fractional)
Li 0.1670 0.0000 0.0000
Hf 0.6667 0.3333 0.6667
In 0.1663 0.6667 0.3333

## Properties
polymorph energy (0 for the lowest one) = 164 meV/atom
raw total energy = -14.8 eV/cell
energy relative to the elements = -0.06 eV per atom
mass density = 8.331 g/cm³
total magnetization = 0.000 μB per atom


Q: What is the polymorph energy (0 for the lowest one) in the second record?
A: 169 meV/atom


Q: What is the polymorph energy (0 for the lowest one) in the first record?
A: 106 meV/atom